# CoPbSe2

A geometry-optimized CoPbSe2 structure (GGA-PBE, Alexandria via LeMat-Bulk).

The energy relative to the elements, uncorrected is -0.03 eV/f.u. The volume is 96.8 Å³/cell. The value obtained for the density of states at the Fermi level is 1.251 states/eV per atom. Its total magnetization is 2.0 μB/f.u. Its density is 7.28 g/cm3. The total energy is -4.452 eV/atom.

The structure belongs to space group P4mm (No. 99); the cell edges are 3.561, 3.561 and 7.631 Å and the angles 90.00°, 90.00° and 90.00°. Symmetry generates all atoms from Co at (0.000, 0.000, 0.000), Pb at (0.500, 0.500, 0.493), Se at (0.000, 0.000, 0.693) and Se at (0.500, 0.500, 0.067).


# DyAlPd

A geometry-optimized DyAlPd structure (GGA-PBE, Alexandria via LeMat-Bulk).

As for the energy of formation from the pure elements: -0.880 eV/atom. The volume is 239.5 Å³/cell. The value obtained for the density of states at the Fermi level is 0.491 states/eV per atom. Its total magnetization is 0.0 μB/f.u. Its density is 8.21 g/cm3. The total energy is -5.392 eV/atom.

The structure belongs to space group Pnma (No. 62); the cell edges are 6.894, 4.459 and 7.791 Å and the angles 90.00°, 90.00° and 90.00°. Symmetry generates all atoms from Dy at (0.033, 0.250, 0.181), Al at (0.145, 0.250, 0.563) and Pd at (0.228, 0.750, 0.383).


# NdThHgOs

A geometry-optimized NdThHgOs structure (GGA-PBE, Alexandria via LeMat-Bulk).

As for the energy of formation from the pure elements: -0.252 eV/atom. For the energy above the lowest structure with this stoichiometry, the calculation gives 0 meV/atom. The volume is 348.3 Å³/cell. The value obtained for the density of states at the Fermi level is 0.782 states/eV per atom. Its total magnetization is 0.0 μB/f.u. Its density is 10.97 g/cm3. The total energy is -6.182 eV/atom.

The structure belongs to space group R3m (No. 160, hexagonal axes); the cell edges are 4.1987, 4.1987 and 22.8103 Å and the angles 90.00°, 90.00° and 120.00°. Symmetry generates all atoms from Nd at (0.0000, 0.0000, 0.0000), Th at (0.0000, 0.0000, 0.2029), Hg at (0.0000, 0.0000, 0.7664) and Os at (0.0000, 0.0000, 0.5971).


# CdIn2SnO6

A geometry-optimized CdIn2SnO6 structure (GGA-PBE, Alexandria via LeMat-Bulk).

The energy relative to the elements, uncorrected is -14.80 eV/f.u. The volume is 402.1 Å³/cell. Its total magnetization is 0.0 μB/f.u. Its density is 6.90 g/cm3. The total energy is -5.495 eV/atom.

The structure belongs to space group R3 (No. 146, hexagonal axes); the cell edges are 5.5928, 5.5928 and 14.8443 Å and the angles 90.00°, 90.00° and 120.00°. Symmetry generates all atoms from Cd at (0.0000, 0.0000, 0.0000), In at (0.0000, 0.0000, 0.2732), In at (0.0000, 0.0000, 0.7804), Sn at (0.0000, 0.0000, 0.4827), O at (0.0204, 0.7276, 0.3850) and O at (0.0253, 0.3465, 0.5451).


Question: volume of number 1 (CoPbSe2)?
Answer: 96.8 Å³/cell